# 1
! Ba3TeS6 PBE optimized geometry; values from VASP
! Formation energy from raw total energies   -1085 kJ/mol of formula units
! SG   No. 36
&SYSTEM
  ibrav = 0, nat = 20, ntyp = 3
/
ATOMIC_SPECIES
Ba 137.33 Ba.upf
Te 127.60 Te.upf
S 32.06 S.upf
CELL_PARAMETERS angstrom
5.917 0.000 0.000
0.000 10.783 -0.266
0.000 -2.666 10.452
ATOMIC_POSITIONS crystal
Ba 0.481 0.925 0.717
Ba 0.981 0.717 0.925
Ba 0.413 0.396 0.604
Ba 0.913 0.604 0.396
Ba 0.981 0.075 0.283
Ba 0.481 0.283 0.075
Te 0.015 0.194 0.806
Te 0.515 0.806 0.194
S 0.197 0.670 0.657
S 0.697 0.657 0.670
S 0.152 0.409 0.887
S 0.652 0.887 0.409
S 0.267 0.997 0.003
S 0.628 0.226 0.774
S 0.128 0.774 0.226
S 0.767 0.003 0.997
S 0.152 0.113 0.591
S 0.652 0.591 0.113
S 0.197 0.343 0.330
S 0.697 0.330 0.343

=====

# 2
! LaV3Fe PBE optimized geometry; values from VASP
! Excess energy over the best structure of this formula in the dataset   0 meV per atom
! SG   No. 221
! Energy relative to the elements   0.4812 eV/atom
&SYSTEM
  ibrav = 0, nat = 5, ntyp = 3
/
ATOMIC_SPECIES
La 138.91 La.upf
Fe 55.84 Fe.upf
V 50.94 V.upf
CELL_PARAMETERS angstrom
4.543 0.000 0.000
0.000 4.543 0.000
0.000 0.000 4.543
ATOMIC_POSITIONS crystal
La 0.500 0.500 0.500
Fe 0.000 0.000 0.000
V 0.000 0.500 0.000
V 0.000 0.000 0.500
V 0.500 0.000 0.000

=====

# 3
! ZrTeRh2 PBE optimized geometry; values from VASP
! Excess energy over the best structure of this formula in the dataset   269 meV per atom
! Formation energy from raw total energies   -102 kJ/mol of formula units
! SG   No. 122
&SYSTEM
  ibrav = 0, nat = 8, ntyp = 3
/
ATOMIC_SPECIES
Te 127.60 Te.upf
Rh 102.91 Rh.upf
Zr 91.22 Zr.upf
CELL_PARAMETERS angstrom
4.243 0.000 0.000
0.000 4.243 0.000
2.121 2.121 8.812
ATOMIC_POSITIONS crystal
Te 0.000 0.000 0.000
Te 0.750 0.250 0.500
Rh 0.627 0.125 0.250
Rh 0.123 0.625 0.250
Rh 0.375 0.373 0.750
Rh 0.875 0.877 0.750
Zr 0.500 0.500 0.000
Zr 0.250 0.750 0.500

=====

# 4
! Pu2Np4Ge3 PBE optimized geometry; values from VASP
! SG   No. 12
! Energy relative to the elements   -0.2158 eV/atom
&SYSTEM
  ibrav = 0, nat = 9, ntyp = 3
/
ATOMIC_SPECIES
Pu 244.00 Pu.upf
Np 237.00 Np.upf
Ge 72.64 Ge.upf
CELL_PARAMETERS angstrom
-2.595 -1.211 -3.626
-5.168 0.311 0.654
-2.049 8.036 -1.222
ATOMIC_POSITIONS crystal
Pu 0.682 0.637 0.681
Pu 0.318 0.363 0.319
Np 0.317 0.366 0.030
Np 0.954 0.091 0.349
Np 0.046 0.909 0.651
Np 0.683 0.634 0.970
Ge 0.628 0.743 0.309
Ge 0.000 0.000 0.000
Ge 0.372 0.257 0.691

=====

# 5
! BaFeAsW2 PBE optimized geometry; values from VASP
! SG   No. 123
! Energy relative to the elements   1.9078 eV/atom
&SYSTEM
  ibrav = 0, nat = 5, ntyp = 4
/
ATOMIC_SPECIES
As 74.92 As.upf
Ba 137.33 Ba.upf
W 183.84 W.upf
Fe 55.84 Fe.upf
CELL_PARAMETERS angstrom
-3.409 -3.197 0.069
2.899 -3.002 4.133
-2.214 2.433 3.320
ATOMIC_POSITIONS crystal
As 0.000 0.000 0.000
Ba 0.000 0.500 0.000
W 0.000 0.000 0.500
W 0.500 0.000 0.000
Fe 0.500 0.500 0.500

=====

# 6
! Cd2NiH6Pt PBE optimized geometry; values from VASP
! Total DFT energy (no corrections)   -33.34 eV per formula unit
! SG   No. 2
&SYSTEM
  ibrav = 0, nat = 10, ntyp = 4
/
ATOMIC_SPECIES
Cd 112.41 Cd.upf
Ni 58.69 Ni.upf
H 1.01 H.upf
Pt 195.08 Pt.upf
CELL_PARAMETERS angstrom
4.973 1.207 0.548
1.280 6.901 0.768
3.575 4.697 3.991
ATOMIC_POSITIONS crystal
Cd 0.759 0.207 0.452
Cd 0.241 0.793 0.548
Ni 0.000 0.000 0.000
H 0.226 0.258 0.508
H 0.702 0.848 0.115
H 0.186 0.713 0.050
H 0.814 0.287 0.950
H 0.298 0.152 0.885
H 0.774 0.742 0.492
Pt 0.500 0.500 0.000

=====

# 7
! ScHgGe3 PBE optimized geometry; values from VASP
! Excess energy over the best structure of this formula in the dataset   269 meV per atom
! SG   No. 221
! Energy relative to the elements   0.7487 eV/atom
&SYSTEM
  ibrav = 0, nat = 5, ntyp = 3
/
ATOMIC_SPECIES
Sc 44.96 Sc.upf
Ge 72.64 Ge.upf
Hg 200.59 Hg.upf
CELL_PARAMETERS angstrom
-3.083 3.422 -2.289
-4.080 -2.154 2.275
0.555 3.179 4.006
ATOMIC_POSITIONS crystal
Sc 0.500 0.500 0.500
Ge 0.000 0.500 0.000
Ge 0.000 0.000 0.500
Ge 0.500 0.000 0.000
Hg 0.000 0.000 0.000

=====

# 8
! SnPtC3 PBE optimized geometry; values from VASP
! Excess energy over the best structure of this formula in the dataset   0 meV per atom
! SG   No. 221
! Energy relative to the elements   2.3096 eV/atom
&SYSTEM
  ibrav = 0, nat = 5, ntyp = 3
/
ATOMIC_SPECIES
C 12.01 C.upf
Sn 118.71 Sn.upf
Pt 195.08 Pt.upf
CELL_PARAMETERS angstrom
4.123 0.000 0.000
0.000 4.123 0.000
0.000 0.000 4.123
ATOMIC_POSITIONS crystal
C 0.000 0.500 0.000
C 0.000 0.000 0.500
C 0.500 0.000 0.000
Sn 0.500 0.500 0.500
Pt 0.000 0.000 0.000

=====

# 9
! DyZrCr4 PBE optimized geometry; values from VASP
! SG   No. 216
! Energy relative to the elements   0.1807 eV/atom
&SYSTEM
  ibrav = 0, nat = 6, ntyp = 3
/
ATOMIC_SPECIES
Cr 52.00 Cr.upf
Zr 91.22 Zr.upf
Dy 162.50 Dy.upf
CELL_PARAMETERS angstrom
-5.114 0.142 0.250
-2.376 -0.977 4.432
-2.336 3.784 2.543
ATOMIC_POSITIONS crystal
Cr 0.625 0.625 0.125
Cr 0.625 0.125 0.625
Cr 0.625 0.625 0.625
Cr 0.125 0.625 0.625
Zr 0.250 0.250 0.250
Dy 0.000 0.000 0.000

=====

# 10
! FeCo2 PBE optimized geometry; values from VASP
! SG   No. 123
! Energy relative to the elements   -0.0008 eV/atom
&SYSTEM
  ibrav = 0, nat = 6, ntyp = 2
/
ATOMIC_SPECIES
Co 58.93 Co.upf
Fe 55.84 Fe.upf
CELL_PARAMETERS angstrom
2.845 0.000 0.000
0.000 2.845 0.000
0.000 0.000 8.421
ATOMIC_POSITIONS crystal
Co 0.000 0.000 0.999
Co 0.500 0.500 0.167
Co 0.000 0.000 0.334
Co 0.000 0.000 0.667
Fe 0.500 0.500 0.498
Fe 0.500 0.500 0.835

=====

# 11
! SrMn2Re PBE optimized geometry; values from VASP
! Excess energy over the best structure of this formula in the dataset   434 meV per atom
! SG   No. 47
! Energy relative to the elements   0.9887 eV/atom
&SYSTEM
  ibrav = 0, nat = 4, ntyp = 3
/
ATOMIC_SPECIES
Mn 54.94 Mn.upf
Re 186.21 Re.upf
Sr 87.62 Sr.upf
CELL_PARAMETERS angstrom
4.620 0.000 0.000
0.000 4.870 0.000
0.000 0.000 2.985
ATOMIC_POSITIONS crystal
Mn 0.000 0.000 0.000
Mn 0.500 0.500 0.000
Re 0.500 0.000 0.500
Sr 0.000 0.500 0.500

=====

# 12
! CsMoHCl6 PBE optimized geometry; values from VASP
! Total DFT energy (no corrections)   -35.53 eV per formula unit
! SG   No. 1
&SYSTEM
  ibrav = 0, nat = 9, ntyp = 4
/
ATOMIC_SPECIES
Cs 132.91 Cs.upf
Mo 95.94 Mo.upf
H 1.01 H.upf
Cl 35.45 Cl.upf
CELL_PARAMETERS angstrom
-3.053 7.373 1.586
-5.998 2.948 -1.955
-4.243 -1.210 4.767
ATOMIC_POSITIONS crystal
Cs 0.832 0.279 0.000
Mo 0.333 0.278 0.500
H 0.833 0.778 0.500
Cl 0.116 0.186 0.440
Cl 0.408 0.011 0.843
Cl 0.551 0.369 0.560
Cl 0.010 0.652 0.662
Cl 0.259 0.545 0.157
Cl 0.657 0.903 0.338